Here is DyHg6Pb after structural relaxation from Alexandria. Energies are from PBE.

Lattice parameters (Å, degrees): 4.7042 4.7042 9.2261 90.00 90.00 90.00
Fractional positions:
1 Dy 0.0000 0.0000 0.0000
2 Hg 0.0000 0.5000 0.2412
3 Hg 0.0000 0.5000 0.7588
4 Hg 0.5000 0.0000 0.2412
5 Hg 0.5000 0.0000 0.7588
6 Hg 0.5000 0.5000 0.0000
7 Hg 0.5000 0.5000 0.5000
8 Pb 0.0000 0.0000 0.5000

Output
offset from the most stable computed form	0	meV/atom
symmetry	No. 123
calculated formation energy	-0.15	eV per atom
crystal system	tetragonal